[1]
Material: SmMg2ZnCu2
Method: DFT, PBE
State: optimized geometry

Calculated values
Volume: 130.7 Å³/f.u.
Raw total energy: -2.815 eV/atom

Cell lengths 4.9871, 4.9871, 6.3273 Å; angles 113.21, 113.21, 90.00 degrees
Last column: nearest neighbours and their distance in Å.
Fractional coordinates of all 6 atoms:
Mg 0.2500 0.7500 0.5000  4 Cu 2.51
Mg 0.7500 0.2500 0.5000  4 Cu 2.51
Zn 0.0000 0.0000 0.0000  2 Cu 2.34
Cu 0.7769 0.7769 0.5537  1 Zn 2.34, 4 Mg 2.51
Cu 0.2231 0.2231 0.4463  1 Zn 2.34, 4 Mg 2.51
Sm 0.5000 0.5000 0.0000  2 Cu 2.91

[2]
Material: Sm2MgZnCu6
Method: DFT, PBE
State: optimized geometry

Calculated values
Volume: 184.3 Å³/f.u.
Raw total energy: -3.762 eV/atom

Cell lengths 8.6131, 5.0356, 6.5773 Å; angles 67.38, 48.69, 89.85 degrees
Last column: nearest neighbours and their distance in Å.
Fractional coordinates of all 10 atoms:
Cu 0.5692 0.7501 0.4992  4 Cu 2.47-2.50, 1 Zn 2.63, 1 Mg 2.65
Cu 0.2534 0.7600 0.9837  1 Zn 2.45, 4 Cu 2.47-2.54, 1 Mg 2.53
Cu 0.7464 0.7440 0.0166  1 Zn 2.46, 4 Cu 2.47-2.54, 1 Mg 2.54
Cu 0.4308 0.2499 0.5008  4 Cu 2.47-2.50, 1 Zn 2.63, 1 Mg 2.65
Cu 0.7466 0.2400 0.0163  1 Zn 2.45, 4 Cu 2.47-2.54, 1 Mg 2.53
Cu 0.2536 0.2560 0.9834  1 Zn 2.46, 4 Cu 2.47-2.54, 1 Mg 2.54
Sm 0.2019 0.7410 0.5194  7 Cu 3.03-3.21, 2 Zn 3.26, 2 Mg 3.36-3.37
Sm 0.7981 0.2590 0.4806  7 Cu 3.03-3.21, 2 Zn 3.26, 2 Mg 3.36-3.37
Zn 0.0000 0.0000 0.0000  6 Cu 2.45-2.63
Mg 0.5000 0.5000 0.0000  6 Cu 2.53-2.65

[3]
Material: SmMgZnCu
Method: DFT, PBE
State: optimized geometry

Calculated values
Volume: 79.7 Å³/f.u.
Raw total energy: -3.183 eV/atom

Cell lengths 4.8309, 4.8309, 4.8309 Å; angles 60.00, 60.00, 60.00 degrees
Last column: nearest neighbours and their distance in Å.
Fractional coordinates of all 4 atoms:
Cu 0.2500 0.2500 0.2500  4 Mg 2.96, 4 Sm 2.96
Mg 0.0000 0.0000 0.0000  4 Zn 2.96, 4 Cu 2.96
Sm 0.5000 0.5000 0.5000  4 Cu 2.96, 4 Zn 2.96
Zn 0.7500 0.7500 0.7500  4 Mg 2.96, 4 Sm 2.96

What did we get for mass density? Answer: 5.0 7.0 6.3 Mg/m³, in the order shown.
What did we get for ΔH_f (0 K)? Answer: 0.08 -0.07 -0.26 eV per atom, in the order shown.